VASP calculation (PBE) on a relaxed structure of TaNbBr3.

abc: 5.1470 5.1470 5.1470
angles: 90.00 90.00 90.00
With the nearest neighbours (Å) after each atom.
Fractional positions:
Nb 0.5000 0.5000 0.5000  12 Br 3.64
Br 0.0000 0.5000 0.0000  2 Ta 2.57
Br 0.0000 0.0000 0.5000  2 Ta 2.57
Br 0.5000 0.0000 0.0000  2 Ta 2.57
Ta 0.0000 0.0000 0.0000  6 Br 2.57

Summary:
**V**: 136 Å³/f.u.
**SG**: Pm-3m
**Relative energy among the computed polymorphs**: 0.00 kJ/mol of atoms

=====

VASP calculation (PBE) on a relaxed structure of Tb4PmTm7.

abc: 6.9291 8.4171 8.6297
angles: 88.77 101.15 50.73
With the nearest neighbours (Å) after each atom.
Fractional positions:
Tb 0.5771 0.6534 0.3174  7 Tm 3.30-3.66, 2 Tb 3.51-3.54, 1 Pm 3.56
Tb 0.4229 0.3466 0.6826  7 Tm 3.30-3.66, 2 Tb 3.51-3.54, 1 Pm 3.56
Tb 0.7918 0.8145 0.6643  7 Tm 3.42-3.66, 4 Tb 3.51-3.74, 1 Pm 3.79
Tb 0.2082 0.1855 0.3357  7 Tm 3.42-3.66, 4 Tb 3.51-3.74, 1 Pm 3.79
Pm 0.0000 0.0000 0.0000  8 Tm 3.46-3.88, 4 Tb 3.56-3.79
Tm 0.7322 0.5187 0.9766  5 Tm 3.22-3.52, 2 Tb 3.30-3.51, 1 Pm 3.48
Tm 0.2678 0.4813 0.0234  5 Tm 3.22-3.52, 2 Tb 3.30-3.51, 1 Pm 3.48
Tm 0.9412 0.3241 0.6718  4 Tm 3.22-3.54, 5 Tb 3.35-3.56
Tm 0.0588 0.6759 0.3282  4 Tm 3.22-3.54, 5 Tb 3.35-3.56
Tm 0.2875 0.8205 0.6341  5 Tm 3.31-3.67, 5 Tb 3.42-3.65
Tm 0.5000 0.0000 0.0000  4 Tm 3.31-3.54, 2 Pm 3.46, 4 Tb 3.66
Tm 0.7125 0.1795 0.3659  5 Tm 3.31-3.67, 5 Tb 3.42-3.65

Summary:
**Formation energy from the elements**: 80 meV/atom
**V**: 375 Å³/f.u.
**SG**: P-1
**Relative energy among the computed polymorphs**: 0.00 kJ/mol of atoms

=====

VASP calculation (PBE) on a relaxed structure of AcZr2PdN4.

abc: 3.3780 6.0121 11.6998
angles: 90.00 90.00 106.32
With the nearest neighbours (Å) after each atom.
Fractional positions:
Ac 0.1110 0.2220 0.7500  2 N 2.50
Ac 0.8890 0.7780 0.2500  2 N 2.50
Zr 0.3670 0.7340 0.5508  5 N 2.12-2.36
Zr 0.6330 0.2660 0.0508  5 N 2.12-2.36
Zr 0.6330 0.2660 0.4492  5 N 2.12-2.36
Zr 0.3670 0.7340 0.9492  5 N 2.12-2.36
Pd 0.8465 0.6930 0.7500  4 N 2.08-2.18
Pd 0.1535 0.3070 0.2500  4 N 2.08-2.18
N 0.2668 0.5336 0.1013  3 Zr 2.12-2.36, 1 Pd 2.18
N 0.7332 0.4664 0.6013  3 Zr 2.12-2.36, 1 Pd 2.18
N 0.7332 0.4664 0.8987  3 Zr 2.12-2.36, 1 Pd 2.18
N 0.2668 0.5336 0.3987  3 Zr 2.12-2.36, 1 Pd 2.18
N 0.0000 0.0000 0.5000  4 Zr 2.36
N 0.0000 0.0000 0.0000  4 Zr 2.36
N 0.4514 0.9027 0.7500  2 Pd 2.08
N 0.5486 0.0973 0.2500  2 Pd 2.08

Summary:
**V**: 114 Å³/f.u.
**Raw total energy**: -8.46 eV/atom
**SG**: Cmcm

=====

VASP calculation (PBE) on a relaxed structure of ZrOs2Pb.

abc: 5.3360 5.3360 5.3360
angles: 136.13 136.15 63.77
With the nearest neighbours (Å) after each atom.
Fractional positions:
Os 0.0000 0.0000 0.0000  4 Pb 2.82, 4 Zr 3.02, 4 Os 3.02
Os 0.2500 0.7500 0.5000  4 Zr 2.82, 4 Pb 3.02, 4 Os 3.02
Pb 0.5000 0.5000 0.0000  8 Os 2.82-3.02, 4 Zr 3.02
Zr 0.7500 0.2500 0.5000  8 Os 2.82-3.02, 4 Pb 3.02

Summary:
**Formation energy from the elements**: 344 meV/atom
**V**: 72 Å³/f.u.
**SG**: I-4m2

=====

VASP calculation (PBE) on a relaxed structure of TlTeAuCl2.

abc: 5.2086 5.8128 5.2086
angles: 90.00 90.00 90.00
With the nearest neighbours (Å) after each atom.
Fractional positions:
Tl 0.0000 0.0000 0.0000  4 Cl 2.60, 2 Au 2.91
Te 0.5000 0.5000 0.5000  4 Au 3.68, 8 Cl 3.90
Au 0.0000 0.5000 0.0000  2 Tl 2.91
Cl 0.0000 0.0000 0.5000  2 Tl 2.60
Cl 0.5000 0.0000 0.0000  2 Tl 2.60

Summary:
**V**: 158 Å³/f.u.
**Raw total energy**: -2.27 eV/atom
**SG**: P4/mmm

=====

VASP calculation (PBE) on a relaxed structure of Ba5Mg4Tl.

abc: 4.3507 4.3507 21.7335
angles: 90.00 90.00 90.00
With the nearest neighbours (Å) after each atom.
Fractional positions:
Ba 0.5000 0.5000 0.0959  4 Tl 3.72, 4 Mg 3.81
Ba 0.5000 0.5000 0.2988  8 Mg 3.76-3.78
Ba 0.5000 0.5000 0.5000  8 Mg 3.77
Ba 0.5000 0.5000 0.7012  8 Mg 3.76-3.78
Ba 0.5000 0.5000 0.9041  4 Tl 3.72, 4 Mg 3.81
Mg 0.0000 0.0000 0.1994  8 Ba 3.76-3.81
Mg 0.0000 0.0000 0.4000  8 Ba 3.77-3.78
Mg 0.0000 0.0000 0.6000  8 Ba 3.77-3.78
Mg 0.0000 0.0000 0.8006  8 Ba 3.76-3.81
Tl 0.0000 0.0000 0.0000  8 Ba 3.72

Summary:
**Formation energy from the elements**: -129 meV/atom
**V**: 411 Å³/f.u.
**SG**: P4/mmm

=====

VASP calculation (PBE) on a relaxed structure of PSeF.

abc: 3.3009 5.1352 5.3155
angles: 68.93 89.83 89.48
With the nearest neighbours (Å) after each atom.
Fractional positions:
P 0.5403 0.2828 0.9247  1 F 1.64
Se 0.0399 0.4244 0.6030  2 P 2.30
F 0.5443 0.9450 0.9950  1 P 1.64

Summary:
**V**: 84 Å³/f.u.
**Raw total energy**: -4.58 eV/atom
**SG**: P1

=====

VASP calculation (PBE) on a relaxed structure of BaNi2GeN.

abc: 4.1751 6.0565 6.9709
angles: 90.00 90.00 110.16
With the nearest neighbours (Å) after each atom.
Fractional positions:
Ba 0.4466 0.8932 0.7500  4 N 2.79
Ba 0.5534 0.1068 0.2500  4 N 2.79
Ni 0.1552 0.3104 0.9378  1 N 1.82
Ni 0.8448 0.6896 0.0622  1 N 1.82
Ni 0.1552 0.3104 0.5622  1 N 1.82
Ni 0.8448 0.6896 0.4378  1 N 1.82
Ge 0.7265 0.4531 0.7500  6 Ni 2.56-2.59
Ge 0.2735 0.5469 0.2500  6 Ni 2.56-2.59
N 0.0000 0.0000 0.0000  2 Ni 1.82
N 0.0000 0.0000 0.5000  2 Ni 1.82

Summary:
**V**: 83 Å³/f.u.
**Raw total energy**: -5.52 eV/atom
**SG**: Cmcm

=====

VASP calculation (PBE) on a relaxed structure of PmSm3Pt2.

abc: 4.5336 8.5262 10.6434
angles: 65.58 77.70 74.58
With the nearest neighbours (Å) after each atom.
Fractional positions:
Pm 0.4419 0.4160 0.7002  3 Pt 2.93-2.96
Pm 0.5581 0.5840 0.2998  3 Pt 2.93-2.96
Sm 0.0690 0.0356 0.8264  3 Pt 2.87-2.89
Sm 0.9310 0.9644 0.1736  3 Pt 2.87-2.89
Sm 0.6993 0.6822 0.9192  3 Pt 2.88-2.92
Sm 0.3007 0.3178 0.0808  3 Pt 2.88-2.92
Sm 0.8241 0.8076 0.5443  3 Pt 2.90-2.91
Sm 0.1759 0.1924 0.4557  3 Pt 2.90-2.91
Pt 0.8798 0.3426 0.8978  4 Sm 2.88-2.92, 2 Pm 2.96
Pt 0.1202 0.6574 0.1022  4 Sm 2.88-2.92, 2 Pm 2.96
Pt 0.6314 0.0924 0.6448  5 Sm 2.87-2.91, 1 Pm 2.93
Pt 0.3686 0.9076 0.3552  5 Sm 2.87-2.91, 1 Pm 2.93

Summary:
**Formation energy from the elements**: -756 meV/atom
**V**: 179 Å³/f.u.
**SG**: C2/m
**Relative energy among the computed polymorphs**: 5.42 kJ/mol of atoms

=====

VASP calculation (PBE) on a relaxed structure of AgRu2Au.

abc: 2.8054 2.8054 8.1384
angles: 90.00 90.00 90.00
With the nearest neighbours (Å) after each atom.
Fractional positions:
Ag 0.0000 0.0000 0.4892  4 Ag 2.81, 4 Ru 2.93, 4 Au 2.98
Au 0.5000 0.5000 0.7622  4 Au 2.81, 4 Ru 2.92, 4 Ag 2.98
Ru 0.0000 0.0000 0.0250  8 Ru 2.56-2.81
Ru 0.5000 0.5000 0.2236  8 Ru 2.56-2.81

Summary:
**Formation energy from the elements**: 213 meV/atom
**V**: 64 Å³/f.u.
**SG**: P4mm
**Relative energy among the computed polymorphs**: 0.00 kJ/mol of atoms

=====

VASP calculation (PBE) on a relaxed structure of PPdAuS2.

abc: 4.9029 4.9029 4.6702
angles: 90.00 90.00 90.00
With the nearest neighbours (Å) after each atom.
Fractional positions:
P 0.0000 0.0000 0.5000  2 Au 2.34
S 0.0000 0.5000 0.0000  2 Au 2.45
S 0.5000 0.0000 0.0000  2 Au 2.45
Au 0.0000 0.0000 0.0000  2 P 2.34, 4 S 2.45
Pd 0.5000 0.5000 0.5000  8 S 3.39, 4 P 3.47

Summary:
**V**: 112 Å³/f.u.
**SG**: P4/mmm
**Relative energy among the computed polymorphs**: 27.26 kJ/mol of atoms

=====

VASP calculation (PBE) on a relaxed structure of MnNbCoHSe2.

abc: 4.1117 3.4032 12.7505
angles: 90.00 108.44 90.00
With the nearest neighbours (Å) after each atom.
Fractional positions:
Mn 0.5165 0.0000 0.0188  1 H 1.91
Mn 0.5165 0.5000 0.5188  1 H 1.91
Nb 0.1521 0.0000 0.1556  1 H 2.00
Nb 0.1521 0.5000 0.6556  1 H 2.00
Co 0.9826 0.0000 0.4853  2 H 1.71
Co 0.9826 0.5000 0.9853  2 H 1.71
H 0.9460 0.0000 0.9905  2 Co 1.71, 1 Mn 1.91
H 0.9460 0.5000 0.4905  2 Co 1.71, 1 Mn 1.91
Se 0.3762 0.0000 0.3826  2 Mn 2.37, 2 Co 2.38-2.42
Se 0.3762 0.5000 0.8826  2 Mn 2.37, 2 Co 2.38-2.42
Se 0.6680 0.0000 0.6725  2 Mn 2.52, 4 Nb 2.67-2.68
Se 0.6680 0.5000 0.1725  2 Mn 2.52, 4 Nb 2.67-2.68

Summary:
**V**: 85 Å³/f.u.
**SG**: Cm
**Relative energy among the computed polymorphs**: 5.18 kJ/mol of atoms

=====

VASP calculation (PBE) on a relaxed structure of ZrCdPb2.

abc: 5.7514 5.7514 5.7327
angles: 82.62 82.62 33.35
With the nearest neighbours (Å) after each atom.
Fractional positions:
Cd 0.2500 0.2500 0.2500  6 Pb 3.24-3.45, 2 Cd 3.30, 4 Zr 3.31
Pb 0.0074 0.0074 0.9881  6 Pb 3.21-3.41, 3 Cd 3.24-3.45, 3 Zr 3.28-3.31
Pb 0.4926 0.4926 0.5119  6 Pb 3.21-3.41, 3 Cd 3.24-3.45, 3 Zr 3.28-3.31
Zr 0.7500 0.7500 0.7500  6 Pb 3.28-3.31, 2 Zr 3.30, 4 Cd 3.31

Summary:
**Formation energy from the elements**: 61 meV/atom
**V**: 103 Å³/f.u.
**SG**: C2/m

=====

VASP calculation (PBE) on a relaxed structure of V2Ni9Sn.

abc: 3.6219 3.6219 10.8400
angles: 90.00 90.00 90.00
With the nearest neighbours (Å) after each atom.
Fractional positions:
V 0.0000 0.0000 0.3359  12 Ni 2.46-2.56
V 0.0000 0.0000 0.6641  12 Ni 2.46-2.56
Ni 0.5000 0.5000 0.0000  4 Sn 2.56, 8 Ni 2.68
Ni 0.5000 0.5000 0.3407  8 Ni 2.49-2.50, 4 V 2.56
Ni 0.5000 0.5000 0.6593  8 Ni 2.49-2.50, 4 V 2.56
Ni 0.5000 0.0000 0.1827  2 V 2.46, 8 Ni 2.49-2.68, 2 Sn 2.68
Ni 0.5000 0.0000 0.5000  8 Ni 2.50-2.56, 4 V 2.54
Ni 0.5000 0.0000 0.8173  2 V 2.46, 8 Ni 2.49-2.68, 2 Sn 2.68
Ni 0.0000 0.5000 0.1827  2 V 2.46, 8 Ni 2.49-2.68, 2 Sn 2.68
Ni 0.0000 0.5000 0.5000  8 Ni 2.50-2.56, 4 V 2.54
Ni 0.0000 0.5000 0.8173  2 V 2.46, 8 Ni 2.49-2.68, 2 Sn 2.68
Sn 0.0000 0.0000 0.0000  12 Ni 2.56-2.68

Summary:
**Formation energy from the elements**: -193 meV/atom
**V**: 142 Å³/f.u.
**SG**: P4/mmm

=====

VASP calculation (PBE) on a relaxed structure of Np2Pa5Se12.

abc: 7.4256 8.8732 9.1957
angles: 104.32 90.00 114.74
With the nearest neighbours (Å) after each atom.
Fractional positions:
Np 0.7260 0.0000 0.0000  6 Se 2.82-2.90
Np 0.2740 0.0000 0.0000  6 Se 2.82-2.90
Pa 0.3022 0.6044 0.6468  7 Se 2.87-3.00
Pa 0.3243 0.6486 0.1628  7 Se 2.87-3.06
Pa 0.0000 0.0000 0.5000  6 Se 2.73-2.96
Pa 0.6757 0.3514 0.8372  7 Se 2.87-3.06
Pa 0.6978 0.3956 0.3532  7 Se 2.87-3.00
Se 0.9735 0.9470 0.1942  1 Pa 2.73, 2 Np 2.82
Se 0.0750 0.6379 0.8959  1 Np 2.82, 3 Pa 2.87-3.03
Se 0.5629 0.6379 0.8959  1 Np 2.82, 3 Pa 2.87-3.03
Se 0.0980 0.7004 0.4353  4 Pa 2.95-3.06
Se 0.6023 0.7004 0.4353  4 Pa 2.95-3.06
Se 0.4908 0.9816 0.7394  2 Pa 2.87-2.93, 2 Np 2.90
Se 0.5092 0.0184 0.2606  2 Pa 2.87-2.93, 2 Np 2.90
Se 0.9020 0.2996 0.5647  4 Pa 2.95-3.06
Se 0.3977 0.2996 0.5647  4 Pa 2.95-3.06
Se 0.9250 0.3621 0.1041  1 Np 2.82, 3 Pa 2.87-3.03
Se 0.4371 0.3621 0.1041  1 Np 2.82, 3 Pa 2.87-3.03
Se 0.0265 0.0530 0.8058  1 Pa 2.73, 2 Np 2.82

Summary:
**V**: 530 Å³/f.u.
**Raw total energy**: -7.25 eV/atom
**SG**: C2/m

=====

VASP calculation (PBE) on a relaxed structure of Tc2Ni.

abc: 5.0287 5.0287 6.3200
angles: 75.73 75.73 31.30
With the nearest neighbours (Å) after each atom.
Fractional positions:
Tc 0.3621 0.3621 0.5248  8 Tc 2.60-2.73, 4 Ni 2.65-2.68
Tc 0.6856 0.6856 0.8626  5 Ni 2.60-2.68, 7 Tc 2.60-2.74
Tc 0.3144 0.3144 0.1374  5 Ni 2.60-2.68, 7 Tc 2.60-2.74
Tc 0.6379 0.6379 0.4752  8 Tc 2.60-2.73, 4 Ni 2.65-2.68
Ni 0.9690 0.9690 0.8073  9 Tc 2.60-2.68, 3 Ni 2.65-2.71
Ni 0.0310 0.0310 0.1927  9 Tc 2.60-2.68, 3 Ni 2.65-2.71

Summary:
**Formation energy from the elements**: 24 meV/atom
**V**: 40 Å³/f.u.
**SG**: C2/m
**Relative energy among the computed polymorphs**: 9.25 kJ/mol of atoms

=====

VASP calculation (PBE) on a relaxed structure of Ca3Cu7Si4.

abc: 4.0635 7.9720 7.8843
angles: 73.06 75.07 75.23
With the nearest neighbours (Å) after each atom.
Fractional positions:
Ca 0.3096 0.1916 0.1891  5 Si 2.97-3.28, 9 Cu 3.00-3.18
Ca 0.6904 0.8084 0.8109  5 Si 2.97-3.28, 9 Cu 3.00-3.18
Ca 0.0000 0.5000 0.5000  6 Cu 2.96-3.29, 6 Si 3.01-3.25
Cu 0.3088 0.8699 0.5126  3 Si 2.46-2.48, 1 Cu 2.49
Cu 0.4983 0.2274 0.7759  3 Si 2.41-2.42, 3 Cu 2.49-2.55
Cu 0.8708 0.3604 0.8980  3 Si 2.39-2.46, 2 Cu 2.55
Cu 0.6912 0.1301 0.4874  3 Si 2.46-2.48, 1 Cu 2.49
Cu 0.1292 0.6396 0.1020  3 Si 2.39-2.46, 2 Cu 2.55
Cu 0.0000 0.0000 0.0000  2 Si 2.39
Cu 0.5016 0.7726 0.2241  3 Si 2.41-2.42, 3 Cu 2.49-2.55
Si 0.6757 0.4754 0.1731  4 Cu 2.39-2.46
Si 0.3243 0.5246 0.8269  4 Cu 2.39-2.46
Si 0.8925 0.8935 0.3215  6 Cu 2.39-2.48
Si 0.1075 0.1065 0.6785  6 Cu 2.39-2.48

Summary:
**V**: 232 Å³/f.u.
**Raw total energy**: -4.32 eV/atom
**SG**: C2/m

=====

VASP calculation (PBE) on a relaxed structure of Ca3BiF.

abc: 6.0620 6.0620 6.0620
angles: 90.00 90.00 90.00
With the nearest neighbours (Å) after each atom.
Fractional positions:
Ca 0.0000 0.5000 0.0000  2 Bi 3.03
Ca 0.0000 0.0000 0.5000  2 Bi 3.03
Ca 0.5000 0.0000 0.0000  2 Bi 3.03
Bi 0.0000 0.0000 0.0000  6 Ca 3.03
F 0.5000 0.5000 0.5000  12 Ca 4.29

Summary:
**V**: 223 Å³/f.u.
**SG**: Pm-3m
**Relative energy among the computed polymorphs**: 69.63 kJ/mol of atoms

=====

Calculated total magnetic moment, 4.7 0.0 0.0 0.0 1.6 0.0 0.0 1.7 0.0 0.0 1.5 0.0 0.0 0.8 15.1 0.0 0.0 0.0 μB/cell (same order as the records).